<a>
VCrB2 | PBE-GGA | optimized geometry

Properties
Calculated density, g/cm³: 5.70
Volume, A^3/atom: 9.1
Fermi-level density of states, states/eV/f.u.: 2.2

a = 6.0931 Å, b = 2.9390 Å, c = 8.1046 Å
α = 90.00°, β = 90.00°, γ = 90.00°
Positions (direct):
V 0.1370 0.2500 0.1295
V 0.3630 0.7500 0.6295
V 0.6370 0.2500 0.3705
V 0.8630 0.7500 0.8705
Cr 0.0138 0.7500 0.3933
Cr 0.4862 0.2500 0.8933
Cr 0.5138 0.7500 0.1067
Cr 0.9862 0.2500 0.6067
B 0.1527 0.2500 0.8310
B 0.2373 0.7500 0.9245
B 0.2627 0.2500 0.4245
B 0.3473 0.7500 0.3310
B 0.6527 0.2500 0.6690
B 0.7373 0.7500 0.5755
B 0.7627 0.2500 0.0755
B 0.8473 0.7500 0.1690

<b>
VCrB2 | PBE-GGA | optimized geometry

Properties
Calculated density, g/cm³: 5.94
Volume, A^3/atom: 8.7
Fermi-level density of states, states/eV/f.u.: 2.5

a = 2.9335 Å, b = 4.2347 Å, c = 4.2347 Å
α = 41.41°, β = 90.00°, γ = 90.00°
Positions (direct):
V 0.0000 0.0000 0.0000
Cr 0.5000 0.7064 0.7064
B 0.0000 0.2886 0.2886
B 0.5000 0.4154 0.4154

<c>
VCrB2 | PBE-GGA | optimized geometry

Properties
Calculated density, g/cm³: 4.17
Volume, A^3/atom: 12.4
Fermi-level density of states, states/eV/f.u.: 4.0

a = 5.8005 Å, b = 5.8005 Å, c = 5.8005 Å
α = 134.03°, β = 134.03°, γ = 67.04°
Positions (direct):
V 0.0000 0.0000 0.0000
V 0.7500 0.2500 0.5000
Cr 0.2500 0.7500 0.5000
Cr 0.5000 0.5000 0.0000
B 0.1433 0.6250 0.0183
B 0.3750 0.3933 0.5183
B 0.6067 0.1250 0.9817
B 0.8750 0.8567 0.4817

Relative energy table, unit kJ/mol of atoms: <a> 21.4; <b> 0.0; <c> 152.9